(1)
The following is a DFT calculation (GGA-PBEsol) of crystalline MgTc2Rh at its relaxed geometry.

Properties
symmetry: P2/m (10)

Unit cell a=2.715 b=4.244 c=4.979 alpha=90.00 beta=90.10 gamma=90.00
Sites, in units of the cell vectors:
Mg1 0.000 0.000 0.000
Tc1 0.500 0.500 0.237
Tc2 0.500 0.500 0.763
Rh1 0.000 0.000 0.500

---

(2)
The following is a DFT calculation (GGA-PBEsol) of crystalline MgTc2Rh at its relaxed geometry.

Properties
symmetry: I4/mmm (139)

Unit cell a=3.634 b=3.634 c=8.613 alpha=90.00 beta=90.00 gamma=90.00
Sites, in units of the cell vectors:
Mg1 0.000 0.000 0.000
Mg2 0.500 0.500 0.500
Tc1 0.000 0.500 0.250
Tc2 0.000 0.500 0.750
Tc3 0.500 0.000 0.250
Tc4 0.500 0.000 0.750
Rh1 0.000 0.000 0.500
Rh2 0.500 0.500 0.000

---

no.,ΔH_f (0 K) (eV/atom)
1,0.13
2,0.05